The following is a DFT calculation (GGA-PBE) of crystalline KGa2Sb2 at its relaxed geometry.

The structure belongs to space group I4/mmm (No. 139); the cell edges are 5.2066, 5.2066 and 10.2447 Å and the angles 90.00°, 90.00° and 90.00°. The distinct sites, in fractional coordinates, are K at (0.0000, 0.0000, 0.0000), Ga at (0.0000, 0.0000, 0.3741) and Sb at (0.0000, 0.5000, 0.2500).

As for the density of states at the Fermi level: 2.335 states/eV/f.u. Its energy above the most stable polymorph in this dataset is 1.89 kcal/mol of atoms. As for the uncorrected formation energy: -183 meV per atom. For the total DFT energy (no corrections), the calculation gives -3.26 eV/atom. As for the crystal system: tetragonal.

The following is a DFT calculation (GGA-PBE) of crystalline Ba2Ga4Si3Ag at its relaxed geometry.

The structure belongs to space group P-4m2 (No. 115); the cell edges are 4.6675, 4.6675 and 10.3379 Å and the angles 90.00°, 90.00° and 90.00°. The distinct sites, in fractional coordinates, are Ba at (0.0000, 0.5000, 0.2472), Ga at (0.0000, 0.0000, 0.0000), Ga at (0.0000, 0.5000, 0.6285), Ga at (0.5000, 0.5000, 0.0000), Si at (0.0000, 0.5000, 0.8802), Si at (0.5000, 0.5000, 0.5000) and Ag at (0.0000, 0.0000, 0.5000).

As for the density of states at the Fermi level: 5.176 states/eV/f.u. As for the uncorrected formation energy: -268 meV per atom. For the total DFT energy (no corrections), the calculation gives -3.78 eV/atom. As for the crystal system: tetragonal.

The following is a DFT calculation (GGA-PBE) of crystalline YErInSn at its relaxed geometry.

The structure belongs to space group F-43m (No. 216); the cell edges are 7.5211, 7.5211 and 7.5211 Å and the angles 90.00°, 90.00° and 90.00°. The distinct sites, in fractional coordinates, are Y at (0.0000, 0.0000, 0.0000), Er at (0.0000, 0.0000, 0.5000), In at (0.2500, 0.2500, 0.2500) and Sn at (0.2500, 0.2500, 0.7500).

As for the density of states at the Fermi level: 3.140 states/eV/f.u. The calculation puts the formation energy at -0.500 eV per atom. For the total DFT energy (no corrections), the calculation gives -4.94 eV/atom. As for the crystal system: cubic.

Question: Look up the total DFT energy (no corrections) of the third one.
Answer: -4.94 eV/atom

Question: Which of these has the lowest total DFT energy (no corrections)?
Answer: YErInSn

Repeat the second record exactly.
The following is a DFT calculation (GGA-PBE) of crystalline Ba2Ga4Si3Ag at its relaxed geometry.

The structure belongs to space group P-4m2 (No. 115); the cell edges are 4.6675, 4.6675 and 10.3379 Å and the angles 90.00°, 90.00° and 90.00°. The distinct sites, in fractional coordinates, are Ba at (0.0000, 0.5000, 0.2472), Ga at (0.0000, 0.0000, 0.0000), Ga at (0.0000, 0.5000, 0.6285), Ga at (0.5000, 0.5000, 0.0000), Si at (0.0000, 0.5000, 0.8802), Si at (0.5000, 0.5000, 0.5000) and Ag at (0.0000, 0.0000, 0.5000).

As for the density of states at the Fermi level: 5.176 states/eV/f.u. As for the uncorrected formation energy: -268 meV per atom. For the total DFT energy (no corrections), the calculation gives -3.78 eV/atom. As for the crystal system: tetragonal.